An optimized crystal structure of Er2TlBi, computed with GGA-PBE.

Summary:
Space-group type = P4/mmm
DFT formation energy = -0.434 eV/atom

Cell: 3.998 3.998 6.973 Å, 90.00 90.00 90.00°
Fractional positions:
1 Tl 0.500 0.500 0.000
2 Bi 0.500 0.500 0.500
3 Er 0.000 0.000 0.747
4 Er 0.000 0.000 0.253


An optimized crystal structure of ErTl2Bi, computed with GGA-PBE.

Summary:
Space-group type = P4/mmm
DFT formation energy = -0.255 eV/atom

Cell: 4.859 4.823 4.823 Å, 90.00 90.00 90.00°
Fractional positions:
1 Tl 0.000 0.000 0.500
2 Tl 0.000 0.500 0.000
3 Bi 0.500 0.500 0.500
4 Er 0.500 0.000 0.000